Record 1
Below is crystalline Ag2TeBr at its relaxed geometry, with properties calculated at the GGA-PBEsol level.

```
Ag2TeBr
1.0
-1.794 4.661 -0.216
-4.860 0.769 -0.883
-2.963 1.710 3.646
Te Br Ag
1 1 2
Direct
0.500 0.500 0.500
0.000 0.000 0.000
0.250 0.250 0.250
0.750 0.750 0.750
```

Results
The formation energy without anion corrections is 0.23 eV/atom. Its relative energy among the computed polymorphs is 0.336 eV/atom. As for the electronic total energy: -11.1 eV for the cell shown.

---

Record 2
Below is crystalline AgTeBr4 at its relaxed geometry, with properties calculated at the GGA-PBEsol level.

```
AgTeBr4
1.0
-0.405 -4.714 3.755
-0.167 -5.618 -2.213
4.730 -3.682 0.746
Te Br Ag
1 4 1
Direct
0.750 0.750 0.750
0.375 0.375 0.375
0.375 0.375 0.876
0.876 0.375 0.375
0.375 0.876 0.375
0.000 0.000 0.000
```

Results
The formation energy without anion corrections is 0.69 eV/atom. As for the electronic total energy: -10.2 eV for the cell shown.

---

Record 3
Below is crystalline Ag5Te2Br at its relaxed geometry, with properties calculated at the GGA-PBEsol level.

```
Ag5Te2Br
1.0
-4.302 -5.155 -3.630
11.286 -6.417 -4.264
-0.174 -7.835 11.331
Ag Te Br
40 16 8
Direct
0.230 0.353 0.709
0.770 0.647 0.291
0.730 0.147 0.791
0.270 0.853 0.209
0.432 0.250 0.568
0.568 0.750 0.432
0.932 0.250 0.932
0.068 0.750 0.068
0.109 0.068 0.923
0.891 0.932 0.077
0.609 0.432 0.577
0.391 0.568 0.423
0.018 0.859 0.890
0.982 0.141 0.110
0.518 0.641 0.610
0.482 0.359 0.390
0.354 0.750 0.886
0.646 0.250 0.114
0.854 0.750 0.614
0.146 0.250 0.386
0.018 0.641 0.890
0.982 0.359 0.110
0.518 0.859 0.610
0.482 0.141 0.390
0.632 0.615 0.938
0.368 0.385 0.062
0.132 0.885 0.562
0.868 0.115 0.438
0.132 0.615 0.562
0.868 0.385 0.438
0.632 0.885 0.938
0.368 0.115 0.062
0.730 0.353 0.791
0.270 0.647 0.209
0.230 0.147 0.709
0.770 0.853 0.291
0.109 0.432 0.923
0.891 0.568 0.077
0.609 0.068 0.577
0.391 0.932 0.423
0.209 0.413 0.514
0.791 0.587 0.486
0.709 0.087 0.986
0.291 0.913 0.014
0.209 0.087 0.514
0.791 0.913 0.486
0.709 0.413 0.986
0.291 0.587 0.014
0.251 0.750 0.692
0.749 0.250 0.308
0.751 0.750 0.808
0.249 0.250 0.192
0.788 0.250 0.621
0.212 0.750 0.379
0.288 0.250 0.879
0.712 0.750 0.121
0.485 0.498 0.755
0.515 0.502 0.245
0.985 0.002 0.745
0.015 0.998 0.255
0.485 0.002 0.755
0.515 0.998 0.245
0.985 0.498 0.745
0.015 0.502 0.255
```

Results
The formation energy without anion corrections is -0.11 eV/atom. As for the electronic total energy: -210.6 eV for the cell shown.

---

Record 4
Below is crystalline Ag2TeBr at its relaxed geometry, with properties calculated at the GGA-PBEsol level.

```
Ag2TeBr
1.0
6.241 0.000 0.000
0.000 6.241 0.000
-3.121 -3.121 6.053
Te Br Ag
2 2 4
Direct
0.250 0.750 0.500
0.000 0.000 0.000
0.750 0.250 0.500
0.500 0.500 0.000
0.371 0.875 0.250
0.879 0.375 0.250
0.125 0.121 0.750
0.625 0.629 0.750
```

Results
The formation energy without anion corrections is -0.02 eV/atom. Its relative energy among the computed polymorphs is 0.085 eV/atom. As for the electronic total energy: -24.2 eV for the cell shown.

---

Record 5
Below is crystalline Ag2TeBr at its relaxed geometry, with properties calculated at the GGA-PBEsol level.

```
Ag2TeBr
1.0
3.906 0.000 0.000
1.953 3.383 0.000
1.953 1.128 7.044
Te Ag Br
1 2 1
Direct
0.000 0.000 0.000
0.252 0.252 0.243
0.748 0.748 0.757
0.500 0.500 0.500
```

Results
The formation energy without anion corrections is -0.11 eV/atom. Its relative energy among the computed polymorphs is 0.000 eV/atom. As for the electronic total energy: -12.4 eV for the cell shown.

---

Record 6
Below is crystalline Ag2TeBr at its relaxed geometry, with properties calculated at the GGA-PBEsol level.

```
Ag2TeBr
1.0
3.458 0.000 0.121
0.000 4.372 0.000
-0.228 0.000 6.581
Te Ag Br
1 2 1
Direct
0.125 0.500 0.826
0.124 0.000 0.072
0.625 0.500 0.177
0.625 0.000 0.425
```

Results
The formation energy without anion corrections is -0.09 eV/atom. Its relative energy among the computed polymorphs is 0.015 eV/atom. As for the electronic total energy: -12.4 eV for the cell shown.

---

Record 7
Below is crystalline Ag2TeBr at its relaxed geometry, with properties calculated at the GGA-PBEsol level.

```
Ag2TeBr
1.0
-2.713 2.241 0.976
-0.434 -1.878 3.102
4.693 4.270 3.242
Te Ag Br
1 2 1
Direct
0.500 0.500 0.838
0.000 0.000 0.022
0.500 0.500 0.226
0.000 0.000 0.414
```

Results
The formation energy without anion corrections is -0.08 eV/atom. Its relative energy among the computed polymorphs is 0.023 eV/atom. As for the electronic total energy: -12.4 eV for the cell shown.

---

Record 8
Below is crystalline TiAgBr3 at its relaxed geometry, with properties calculated at the GGA-PBEsol level.

```
TiAgBr3
1.0
-4.165 2.791 -0.732
-2.884 -4.068 0.899
-0.092 1.156 4.933
Br Ag Ti
3 1 1
Direct
0.000 0.500 0.000
0.000 0.000 0.500
0.500 0.000 0.000
0.500 0.500 0.500
0.000 0.000 0.000
```

Results
The formation energy without anion corrections is -0.40 eV/atom. As for the electronic total energy: -19.3 eV for the cell shown.

---

Ordered calculated density results: 8.0, 5.9, 8.1, 6.0, 7.6, 7.1, 7.4, 5.0; unit g/cm3.